Entry 1:
{
  "formula": "LuSnHgBi",
  "functional": "PBE",
  "state": "relaxed",
  "cell": [[0.000, 3.805, 3.805], [3.805, 0.000, 3.805], [3.805, 3.805, 0.000]],
  "species": ["Lu", "Sn", "Hg", "Bi"],
  "frac_coords": [[0.000, 0.000, 0.000], [0.500, 0.500, 0.500], [0.750, 0.750, 0.750], [0.250, 0.250, 0.250]],
  "e_form_ev_per_atom": -0.158,
  "space_group": "No. 216",
  "total_magnetization_mub_per_cell": 0.00,
  "mass_density_g_cm3": 10.6
}


Entry 2:
{
  "formula": "BaCa2Se2",
  "functional": "PBE",
  "state": "relaxed",
  "cell": [[-2.714, 2.714, 5.876], [2.714, -2.714, 5.876], [2.714, 2.714, -5.876]],
  "species": ["Ba", "Ca", "Ca", "Se", "Se"],
  "frac_coords": [[0.000, 0.000, 0.000], [0.335, 0.335, 0.000], [0.665, 0.665, 0.000], [0.250, 0.750, 0.500], [0.750, 0.250, 0.500]],
  "space_group": "No. 139",
  "raw_formation_energy_mev_per_atom": -1377.6,
  "de_polymorph_mev_per_atom": 0.0,
  "total_magnetization_mub_per_cell": 0.00,
  "mass_density_g_cm3": 3.6
}


Entry 3:
{
  "formula": "Pm3Sn5Te12",
  "functional": "PBE",
  "state": "relaxed",
  "cell": [[-9.047, 9.047, 9.047], [9.047, -9.047, 9.047], [9.047, 9.047, -9.047]],
  "species": ["Pm", "Pm", "Pm", "Pm", "Pm", "Pm", "Pm", "Pm", "Pm", "Pm", "Pm", "Pm", "Sn", "Sn", "Sn", "Sn", "Sn", "Sn", "Sn", "Sn", "Sn", "Sn", "Sn", "Sn", "Sn", "Sn", "Sn", "Sn", "Sn", "Sn", "Sn", "Sn", "Te", "Te", "Te", "Te", "Te", "Te", "Te", "Te", "Te", "Te", "Te", "Te", "Te", "Te", "Te", "Te", "Te", "Te", "Te", "Te", "Te", "Te", "Te", "Te", "Te", "Te", "Te", "Te", "Te", "Te", "Te", "Te", "Te", "Te", "Te", "Te", "Te", "Te", "Te", "Te", "Te", "Te", "Te", "Te", "Te", "Te", "Te", "Te"],
  "frac_coords": [[0.125, 0.250, 0.375], [0.125, 0.375, 0.750], [0.250, 0.375, 0.125], [0.250, 0.875, 0.625], [0.375, 0.125, 0.250], [0.375, 0.750, 0.125], [0.625, 0.250, 0.875], [0.625, 0.875, 0.750], [0.750, 0.125, 0.375], [0.750, 0.625, 0.875], [0.875, 0.625, 0.250], [0.875, 0.750, 0.625], [0.000, 0.000, 0.000], [0.000, 0.000, 0.500], [0.000, 0.500, 0.000], [0.000, 0.500, 0.500], [0.125, 0.750, 0.875], [0.125, 0.875, 0.250], [0.250, 0.125, 0.875], [0.250, 0.625, 0.375], [0.375, 0.250, 0.625], [0.375, 0.625, 0.750], [0.500, 0.000, 0.000], [0.500, 0.000, 0.500], [0.500, 0.500, 0.000], [0.500, 0.500, 0.500], [0.625, 0.375, 0.250], [0.625, 0.750, 0.375], [0.750, 0.375, 0.625], [0.750, 0.875, 0.125], [0.875, 0.125, 0.750], [0.875, 0.250, 0.125], [0.051, 0.223, 0.137], [0.051, 0.328, 0.913], [0.086, 0.723, 0.672], [0.086, 0.863, 0.413], [0.087, 0.637, 0.414], [0.087, 0.949, 0.672], [0.137, 0.051, 0.223], [0.137, 0.587, 0.914], [0.172, 0.223, 0.586], [0.172, 0.449, 0.587], [0.223, 0.137, 0.051], [0.223, 0.586, 0.172], [0.277, 0.328, 0.914], [0.277, 0.449, 0.363], [0.328, 0.913, 0.051], [0.328, 0.914, 0.277], [0.363, 0.277, 0.449], [0.363, 0.586, 0.913], [0.413, 0.086, 0.863], [0.413, 0.828, 0.551], [0.414, 0.087, 0.637], [0.414, 0.828, 0.777], [0.449, 0.363, 0.277], [0.449, 0.587, 0.172], [0.551, 0.413, 0.828], [0.551, 0.637, 0.723], [0.586, 0.172, 0.223], [0.586, 0.913, 0.363], [0.587, 0.172, 0.449], [0.587, 0.914, 0.137], [0.637, 0.414, 0.087], [0.637, 0.723, 0.551], [0.672, 0.086, 0.723], [0.672, 0.087, 0.949], [0.723, 0.551, 0.637], [0.723, 0.672, 0.086], [0.777, 0.414, 0.828], [0.777, 0.863, 0.949], [0.828, 0.551, 0.413], [0.828, 0.777, 0.414], [0.863, 0.413, 0.086], [0.863, 0.949, 0.777], [0.913, 0.051, 0.328], [0.913, 0.363, 0.586], [0.914, 0.137, 0.587], [0.914, 0.277, 0.328], [0.949, 0.672, 0.087], [0.949, 0.777, 0.863]],
  "space_group": "No. 230",
  "raw_formation_energy_mev_per_atom": -582.3,
  "total_magnetization_mub_per_cell": 0.00,
  "mass_density_g_cm3": 5.7
}


Entry 4:
{
  "formula": "Ce2NdAl6",
  "functional": "PBE",
  "state": "relaxed",
  "cell": [[8.008, 0.000, 0.000], [-4.004, 6.935, 0.000], [0.000, 0.000, 3.604]],
  "species": ["Ce", "Ce", "Nd", "Al", "Al", "Al", "Al", "Al", "Al"],
  "frac_coords": [[0.333, 0.667, 0.000], [0.667, 0.333, 0.000], [0.000, 0.000, 0.000], [0.000, 0.335, 0.500], [0.000, 0.665, 0.500], [0.335, 0.000, 0.500], [0.335, 0.335, 0.500], [0.665, 0.000, 0.500], [0.665, 0.665, 0.500]],
  "e_form_ev_per_atom": -0.430,
  "space_group": "No. 191",
  "total_magnetization_mub_per_cell": 1.21,
  "mass_density_g_cm3": 4.9
}


Entry 5:
{
  "formula": "Cr5Ir4",
  "functional": "PBE",
  "state": "relaxed",
  "cell": [[7.262, 0.000, 0.000], [-3.631, 6.289, 0.000], [0.000, 0.000, 5.263]],
  "species": ["Cr", "Cr", "Cr", "Cr", "Cr", "Cr", "Cr", "Cr", "Cr", "Cr", "Ir", "Ir", "Ir", "Ir", "Ir", "Ir", "Ir", "Ir"],
  "frac_coords": [[0.000, 0.335, 0.250], [0.000, 0.665, 0.750], [0.333, 0.667, 0.000], [0.333, 0.667, 0.500], [0.335, 0.000, 0.250], [0.335, 0.335, 0.750], [0.665, 0.000, 0.750], [0.665, 0.665, 0.250], [0.667, 0.333, 0.000], [0.667, 0.333, 0.500], [0.000, 0.000, 0.000], [0.000, 0.000, 0.500], [0.000, 0.338, 0.750], [0.000, 0.662, 0.250], [0.338, 0.000, 0.750], [0.338, 0.338, 0.250], [0.662, 0.000, 0.250], [0.662, 0.662, 0.750]],
  "e_form_ev_per_atom": -0.027,
  "space_group": "No. 193",
  "de_polymorph_mev_per_atom": 47.0,
  "total_magnetization_mub_per_cell": 0.48,
  "mass_density_g_cm3": 14.2
}


Entry 6:
{
  "formula": "Pm2NpRu3",
  "functional": "PBE",
  "state": "relaxed",
  "cell": [[5.912, 0.000, 0.000], [-2.956, 5.120, 0.000], [0.000, 0.000, 8.017]],
  "species": ["Pm", "Pm", "Pm", "Pm", "Np", "Np", "Ru", "Ru", "Ru", "Ru", "Ru", "Ru"],
  "frac_coords": [[0.333, 0.667, 0.059], [0.333, 0.667, 0.441], [0.667, 0.333, 0.559], [0.667, 0.333, 0.941], [0.000, 0.000, 0.000], [0.000, 0.000, 0.500], [0.163, 0.327, 0.750], [0.163, 0.837, 0.750], [0.327, 0.163, 0.250], [0.673, 0.837, 0.750], [0.837, 0.163, 0.250], [0.837, 0.673, 0.250]],
  "e_form_ev_per_atom": -0.310,
  "space_group": "No. 194",
  "de_polymorph_mev_per_atom": 0.0,
  "total_magnetization_mub_per_cell": 2.90,
  "mass_density_g_cm3": 11.4
}


Entry 7:
{
  "formula": "TiSbTe3",
  "functional": "PBE",
  "state": "relaxed",
  "cell": [[5.319, 0.000, 0.000], [0.000, 5.319, 0.000], [0.000, 0.000, 5.319]],
  "species": ["Ti", "Sb", "Te", "Te", "Te"],
  "frac_coords": [[0.000, 0.000, 0.000], [0.500, 0.500, 0.500], [0.000, 0.000, 0.500], [0.000, 0.500, 0.000], [0.500, 0.000, 0.000]],
  "space_group": "No. 221",
  "raw_formation_energy_mev_per_atom": 87.8,
  "de_polymorph_mev_per_atom": 0.0,
  "total_magnetization_mub_per_cell": 0.06,
  "mass_density_g_cm3": 6.1
}


Entry 8:
{
  "formula": "Sr2LaF",
  "functional": "PBE",
  "state": "relaxed",
  "cell": [[0.000, 4.303, 4.303], [4.303, 0.000, 4.303], [4.303, 4.303, 0.000]],
  "species": ["Sr", "Sr", "La", "F"],
  "frac_coords": [[0.250, 0.250, 0.250], [0.750, 0.750, 0.750], [0.000, 0.000, 0.000], [0.500, 0.500, 0.500]],
  "space_group": "No. 225",
  "raw_formation_energy_mev_per_atom": -158.7,
  "de_polymorph_mev_per_atom": 1028.9,
  "total_magnetization_mub_per_cell": 3.58,
  "mass_density_g_cm3": 3.5
}


Entry 9:
{
  "formula": "Ca2BSe",
  "functional": "PBE",
  "state": "relaxed",
  "cell": [[0.000, 3.497, 3.497], [3.497, 0.000, 3.497], [3.497, 3.497, 0.000]],
  "species": ["Ca", "Ca", "B", "Se"],
  "frac_coords": [[0.250, 0.250, 0.250], [0.750, 0.750, 0.750], [0.000, 0.000, 0.000], [0.500, 0.500, 0.500]],
  "space_group": "No. 225",
  "raw_formation_energy_mev_per_atom": -183.5,
  "de_polymorph_mev_per_atom": 93.3,
  "total_magnetization_mub_per_cell": 0.00,
  "mass_density_g_cm3": 3.3
}


Entry 10:
{
  "formula": "Ce2AgAs4",
  "functional": "PBE",
  "state": "relaxed",
  "cell": [[4.003, 0.000, 0.000], [0.000, 4.003, 0.000], [0.000, 0.000, 10.031]],
  "species": ["Ce", "Ce", "Ag", "As", "As", "As", "As"],
  "frac_coords": [[0.000, 0.500, 0.234], [0.500, 0.000, 0.766], [0.000, 0.000, 0.500], [0.000, 0.000, 0.000], [0.000, 0.500, 0.677], [0.500, 0.000, 0.323], [0.500, 0.500, 0.000]],
  "e_form_ev_per_atom": -0.851,
  "space_group": "No. 115",
  "total_magnetization_mub_per_cell": 0.40,
  "mass_density_g_cm3": 7.1
}


Entry 11:
{
  "formula": "YCu2Sb2",
  "functional": "PBE",
  "state": "relaxed",
  "cell": [[-2.382, 2.382, 4.741], [2.382, -2.382, 4.741], [2.382, 2.382, -4.741]],
  "species": ["Y", "Cu", "Cu", "Sb", "Sb"],
  "frac_coords": [[0.000, 0.000, 0.000], [0.375, 0.375, 0.000], [0.625, 0.625, 0.000], [0.250, 0.750, 0.500], [0.750, 0.250, 0.500]],
  "space_group": "No. 139",
  "raw_formation_energy_mev_per_atom": -247.1,
  "total_magnetization_mub_per_cell": 0.00,
  "mass_density_g_cm3": 7.1
}


Entry 12:
{
  "formula": "Ho2Cu2Se",
  "functional": "PBE",
  "state": "relaxed",
  "cell": [[2.039, 1.177, 7.295], [-2.039, 1.177, 7.295], [0.000, -2.354, 7.295]],
  "species": ["Ho", "Ho", "Cu", "Cu", "Se"],
  "frac_coords": [[0.085, 0.085, 0.085], [0.915, 0.915, 0.915], [0.331, 0.331, 0.331], [0.669, 0.669, 0.669], [0.500, 0.500, 0.500]],
  "space_group": "No. 166",
  "raw_formation_energy_mev_per_atom": -838.9,
  "total_magnetization_mub_per_cell": 0.00,
  "mass_density_g_cm3": 8.5
}


no.,DFT total energy (eV/atom)
1,-3.3344
2,-3.9566
3,-4.1806
4,-4.7731
5,-9.3119
6,-8.6886
7,-4.2007
8,-2.6994
9,-3.7248
10,-5.6103
11,-4.8273
12,-5.0054